(1)
Ca2CdSn2 after structural relaxation, computed with GGA-PBE.

The total magnetic moment comes out at 0.00 μB per formula unit. As for the offset from the most stable computed form: 0.0292 eV/atom.

The space group is P4/mbm (No. 127) and the conventional cell measures 7.7380, 7.7380 and 4.8072 Å, with angles of 90.00, 90.00 and 90.00 degrees. The distinct sites, in fractional coordinates, are Ca at (0.1680, 0.3320, 0.0000), Cd at (0.0000, 0.0000, 0.5000) and Sn at (0.1351, 0.6351, 0.5000).



(2)
ReAgAu2 after structural relaxation, computed with GGA-PBE.

The total magnetic moment comes out at 0.00 μB per formula unit. As for the offset from the most stable computed form: 0.0659 eV/atom.

The space group is P4mm (No. 99) and the conventional cell measures 2.7706, 2.7706 and 8.8425 Å, with angles of 90.00, 90.00 and 90.00 degrees. The distinct sites, in fractional coordinates, are Re at (0.0000, 0.0000, 0.0000), Ag at (0.5000, 0.5000, 0.2444), Au at (0.0000, 0.0000, 0.5002) and Au at (0.5000, 0.5000, 0.7621).



(3)
CaCd2Re after structural relaxation, computed with GGA-PBE.

The total magnetic moment comes out at 0.00 μB per formula unit. As for the offset from the most stable computed form: 0.0334 eV/atom.

The space group is C2/m (No. 12) and the conventional cell measures 10.2241, 2.8439 and 5.7026 Å, with angles of 90.00, 96.23 and 90.00 degrees. The distinct sites, in fractional coordinates, are Ca at (0.0000, 0.0000, 0.0000), Cd at (0.2405, 0.0000, 0.7241) and Re at (0.0000, 0.5000, 0.5000).



(4)
PmZnGaPt2 after structural relaxation, computed with GGA-PBE.

The total magnetic moment comes out at 0.00 μB per formula unit. As for the total energy: -25.46 eV/f.u.

The space group is I-4m2 (No. 119) and the conventional cell measures 4.0092, 4.0092 and 12.0332 Å, with angles of 90.00, 90.00 and 90.00 degrees. The distinct sites, in fractional coordinates, are Pm at (0.0000, 0.0000, 0.0000), Zn at (0.0000, 0.5000, 0.7500), Ga at (0.0000, 0.5000, 0.2500) and Pt at (0.0000, 0.0000, 0.3872).



(5)
NiHgBPC after structural relaxation, computed with GGA-PBE.

The total magnetic moment comes out at 0.00 μB per formula unit. As for the offset from the most stable computed form: 0.0440 eV/atom.

The space group is Cm (No. 8) and the conventional cell measures 7.7318, 3.0871 and 6.4707 Å, with angles of 90.00, 103.26 and 90.00 degrees. The distinct sites, in fractional coordinates, are Ni at (0.0000, 0.0000, 0.0000), Hg at (0.1277, 0.5000, 0.7226), B at (0.2634, 0.0000, 0.2221), P at (0.1607, 0.5000, 0.3206) and C at (0.4376, 0.0000, 0.1519).



(6)
MnSi4Br after structural relaxation, computed with GGA-PBE.

The total magnetic moment comes out at 4.35 μB per formula unit. As for the total energy: -29.08 eV/f.u.

The space group is F-43m (No. 216) and the conventional cell measures 7.4219, 7.4219 and 7.4219 Å, with angles of 90.00, 90.00 and 90.00 degrees. The distinct sites, in fractional coordinates, are Mn at (0.0000, 0.0000, 0.0000), Si at (0.1244, 0.1244, 0.3756) and Br at (0.2500, 0.2500, 0.7500).



(7)
Pm3Al2In4 after structural relaxation, computed with GGA-PBE.

The total magnetic moment comes out at 0.00 μB per formula unit. As for the total energy: -36.77 eV/f.u.

The space group is C2/m (No. 12) and the conventional cell measures 11.2332, 4.8440 and 9.1431 Å, with angles of 90.00, 114.47 and 90.00 degrees. The distinct sites, in fractional coordinates, are Pm at (0.0000, 0.0000, 0.0000), Pm at (0.1660, 0.5000, 0.6670), Al at (0.1067, 0.5000, 0.2774), In at (0.0677, 0.0000, 0.3957) and In at (0.2057, 0.5000, 0.0472).



(8)
Ho8Te4PSe3 after structural relaxation, computed with GGA-PBE.

The total magnetic moment comes out at 0.00 μB per formula unit. As for the total energy: -89.52 eV/f.u.

The space group is R-3m (No. 166, hexagonal axes) and the conventional cell measures 8.3153, 8.3153 and 20.9060 Å, with angles of 90.00, 90.00 and 120.00 degrees. The distinct sites, in fractional coordinates, are Ho at (0.0000, 0.0000, 0.2388), Ho at (0.0152, 0.5076, 0.2370), Te at (0.0000, 0.0000, 0.0000), Te at (0.0000, 0.5000, 0.0000), P at (0.0000, 0.0000, 0.5000) and Se at (0.0000, 0.5000, 0.5000).



no.,density (g cm⁻³)
1,4.96
2,16.83
3,9.09
4,11.51
5,6.92
6,4.02
7,6.95
8,8.35